Computed, not measured: a PBEsol-optimized structure of CrAg2Rh at the SCAN level of DFT.

Computed properties:
raw total energy: -28.55 eV/atom
crystal system: tetragonal
energy of formation from the pure elements: 175 meV/atom
distance to the lowest polymorph of the same formula: 0 meV/atom

a = 3.7766 Å, b = 3.7766 Å, c = 4.1885 Å
α = 90.00°, β = 90.00°, γ = 90.00°
Last column: nearest neighbours and their distance in Å.
Atoms (fractional coordinates):
Ag  0.0000  0.5000  0.0000  4 Ag 2.67, 4 Cr 2.82, 4 Rh 2.82
Ag  0.5000  0.0000  0.0000  4 Ag 2.67, 4 Rh 2.82, 4 Cr 2.82
Cr  0.5000  0.5000  0.5000  4 Rh 2.67, 8 Ag 2.82
Rh  0.0000  0.0000  0.5000  4 Cr 2.67, 8 Ag 2.82